DFT (PBE) results for a relaxed SbBrO2F6 crystal.

Values from the calculation:
Total DFT energy (no corrections)   -4.151 eV/atom
ΔE_f (raw)   -1457 meV/atom

Geometry as CIF:
```
data_SbBrO2F6
_chemical_formula_sum 'Sb2 Br2 O4 F12'
_symmetry_space_group_name_H-M 'P 1 2/c 1'
_symmetry_Int_Tables_number 13
_cell_length_a 7.322
_cell_length_b 6.050
_cell_length_c 10.467
_cell_angle_alpha 90.00
_cell_angle_beta 132.74
_cell_angle_gamma 90.00
loop_
_symmetry_equiv_pos_as_xyz
'x,y,z'
'-x,-y,-z'
'-x,y,-z+1/2'
'x,-y,z+1/2'
loop_
_atom_site_label
_atom_site_fract_x
_atom_site_fract_y
_atom_site_fract_z
_atom_site_occupancy
Sb1 0.000 0.012 0.250 1
Br1 0.500 0.326 0.750 1
O1 0.343 0.479 0.577 1
F1 0.162 0.227 0.732 1
F2 0.171 0.224 0.231 1
F3 0.268 0.000 0.498 1
```


DFT (PBE) results for a relaxed Li2BeMo crystal.

Values from the calculation:
Energy of formation   0.36 eV per atom
Total DFT energy (no corrections)   -4.233 eV/atom
Energy above the lowest structure with this stoichiometry   0.161 eV per atom

Geometry as CIF:
```
data_Li2BeMo
_chemical_formula_sum 'Li4 Be2 Mo2'
_symmetry_space_group_name_H-M 'C 1 m 1'
_symmetry_Int_Tables_number 8
_cell_length_a 9.371
_cell_length_b 2.399
_cell_length_c 5.069
_cell_angle_alpha 90.00
_cell_angle_beta 107.75
_cell_angle_gamma 90.00
loop_
_symmetry_equiv_pos_as_xyz
'x,y,z'
'x,-y,z'
'x+1/2,y+1/2,z'
'x+1/2,-y+1/2,z'
loop_
_atom_site_label
_atom_site_fract_x
_atom_site_fract_y
_atom_site_fract_z
_atom_site_occupancy
Li1 0.000 0.000 0.000 1
Li2 0.235 0.000 0.865 1
Be1 0.037 0.500 0.475 1
Mo1 0.297 0.500 0.400 1
```


DFT (PBE) results for a relaxed Nd3Al2 crystal.

Values from the calculation:
Energy of formation   -0.30 eV per atom
Total DFT energy (no corrections)   -4.655 eV/atom

Geometry as CIF:
```
data_Nd3Al2
_chemical_formula_sum 'Nd6 Al4'
_symmetry_space_group_name_H-M 'I m m m'
_symmetry_Int_Tables_number 71
_symmetry_space_group_name_Hall '-I 2 2'
_cell_length_a 5.014
_cell_length_b 6.972
_cell_length_c 8.040
_cell_angle_alpha 90.00
_cell_angle_beta 90.00
_cell_angle_gamma 90.00
loop_
_atom_site_label
_atom_site_fract_x
_atom_site_fract_y
_atom_site_fract_z
_atom_site_occupancy
Nd1 0.000 0.000 0.000 1
Nd2 0.000 0.500 0.198 1
Al1 0.000 0.192 0.500 1
```


DFT (PBE) results for a relaxed PrSiPd6 crystal.

Values from the calculation:
Total DFT energy (no corrections)   -5.592 eV/atom
ΔE_f (raw)   -422 meV/atom

Geometry as CIF:
```
data_PrSiPd6
_chemical_formula_sum 'Pr3 Si3 Pd18'
_symmetry_space_group_name_H-M 'R -3 m'
_symmetry_Int_Tables_number 166
_symmetry_space_group_name_Hall '-R 3 2"'
_cell_length_a 5.8391
_cell_length_b 5.8391
_cell_length_c 15.9316
_cell_angle_alpha 90.00
_cell_angle_beta 90.00
_cell_angle_gamma 120.00
loop_
_atom_site_label
_atom_site_fract_x
_atom_site_fract_y
_atom_site_fract_z
_atom_site_occupancy
Pr1 0.0000 0.0000 0.0000 1
Si1 0.0000 0.0000 0.5000 1
Pd1 0.0262 0.5131 0.9171 1
```


DFT (PBE) results for a relaxed La3RuAu crystal.

Values from the calculation:
Energy of formation   0.04 eV per atom
Total DFT energy (no corrections)   -5.423 eV/atom
Energy above the lowest structure with this stoichiometry   0.531 eV per atom

Geometry as CIF:
```
data_La3RuAu
_chemical_formula_sum 'La9 Ru3 Au3'
_symmetry_space_group_name_H-M 'R 3 m'
_symmetry_Int_Tables_number 160
_symmetry_space_group_name_Hall 'R 3 -2"'
_cell_length_a 8.0221
_cell_length_b 8.0221
_cell_length_c 11.1560
_cell_angle_alpha 90.00
_cell_angle_beta 90.00
_cell_angle_gamma 120.00
loop_
_atom_site_label
_atom_site_fract_x
_atom_site_fract_y
_atom_site_fract_z
_atom_site_occupancy
La1 0.0310 0.5155 0.0000 1
Ru1 0.0000 0.0000 0.1920 1
Au1 0.0000 0.0000 0.5286 1
```


DFT (PBE) results for a relaxed La3Ga4Pt2 crystal.

Values from the calculation:
Energy of formation   -0.87 eV per atom
Total DFT energy (no corrections)   -5.201 eV/atom
Energy above the lowest structure with this stoichiometry   0.063 eV per atom

Geometry as CIF:
```
data_La3Ga4Pt2
_chemical_formula_sum 'La6 Ga8 Pt4'
_symmetry_space_group_name_H-M 'C 1 2/m 1'
_symmetry_Int_Tables_number 12
_cell_length_a 10.984
_cell_length_b 4.394
_cell_length_c 9.184
_cell_angle_alpha 90.00
_cell_angle_beta 109.58
_cell_angle_gamma 90.00
loop_
_symmetry_equiv_pos_as_xyz
'x,y,z'
'-x,-y,-z'
'-x,y,-z'
'x,-y,z'
'x+1/2,y+1/2,z'
'-x+1/2,-y+1/2,-z'
'-x+1/2,y+1/2,-z'
'x+1/2,-y+1/2,z'
loop_
_atom_site_label
_atom_site_fract_x
_atom_site_fract_y
_atom_site_fract_z
_atom_site_occupancy
La1 0.000 0.000 0.000 1
La2 0.115 0.500 0.691 1
Ga1 0.132 0.000 0.430 1
Ga2 0.226 0.500 0.061 1
Pt1 0.162 0.500 0.303 1
```


DFT (PBE) results for a relaxed RbSc3Au crystal.

Values from the calculation:
Energy of formation   1.40 eV per atom
Total DFT energy (no corrections)   -3.245 eV/atom
Energy above the lowest structure with this stoichiometry   1.201 eV per atom

Geometry as CIF:
```
data_RbSc3Au
_chemical_formula_sum 'Rb1 Sc3 Au1'
_symmetry_space_group_name_H-M 'P m -3 m'
_symmetry_Int_Tables_number 221
_symmetry_space_group_name_Hall '-P 4 2 3'
_cell_length_a 4.948
_cell_length_b 4.948
_cell_length_c 4.948
_cell_angle_alpha 90.00
_cell_angle_beta 90.00
_cell_angle_gamma 90.00
loop_
_atom_site_label
_atom_site_fract_x
_atom_site_fract_y
_atom_site_fract_z
_atom_site_occupancy
Rb1 0.000 0.000 0.000 1
Sc1 0.000 0.000 0.500 1
Au1 0.500 0.500 0.500 1
```


DFT (PBE) results for a relaxed ZrHgO3 crystal.

Values from the calculation:
Total DFT energy (no corrections)   -4.893 eV/atom
ΔE_f (raw)   -148 meV/atom

Geometry as CIF:
```
data_ZrHgO3
_chemical_formula_sum 'Zr1 Hg1 O3'
_symmetry_space_group_name_H-M 'P m -3 m'
_symmetry_Int_Tables_number 221
_symmetry_space_group_name_Hall '-P 4 2 3'
_cell_length_a 4.153
_cell_length_b 4.153
_cell_length_c 4.153
_cell_angle_alpha 90.00
_cell_angle_beta 90.00
_cell_angle_gamma 90.00
loop_
_atom_site_label
_atom_site_fract_x
_atom_site_fract_y
_atom_site_fract_z
_atom_site_occupancy
Zr1 0.000 0.000 0.000 1
Hg1 0.500 0.500 0.500 1
O1 0.000 0.500 0.500 1
```


DFT (PBE) results for a relaxed Tl3InSi crystal.

Values from the calculation:
Total DFT energy (no corrections)   -2.244 eV/atom
Energy above the lowest structure with this stoichiometry   0.413 eV per atom
ΔE_f (raw)   808 meV/atom

Geometry as CIF:
```
data_Tl3InSi
_chemical_formula_sum 'Tl3 In1 Si1'
_symmetry_space_group_name_H-M 'P m -3 m'
_symmetry_Int_Tables_number 221
_symmetry_space_group_name_Hall '-P 4 2 3'
_cell_length_a 5.687
_cell_length_b 5.687
_cell_length_c 5.687
_cell_angle_alpha 90.00
_cell_angle_beta 90.00
_cell_angle_gamma 90.00
loop_
_atom_site_label
_atom_site_fract_x
_atom_site_fract_y
_atom_site_fract_z
_atom_site_occupancy
Tl1 0.000 0.000 0.500 1
In1 0.000 0.000 0.000 1
Si1 0.500 0.500 0.500 1
```


DFT (PBE) results for a relaxed HoPaIrRh crystal.

Values from the calculation:
Energy of formation   -0.73 eV per atom
Total DFT energy (no corrections)   -8.297 eV/atom
Energy above the lowest structure with this stoichiometry   0.173 eV per atom

Geometry as CIF:
```
data_HoPaIrRh
_chemical_formula_sum 'Ho4 Pa4 Ir4 Rh4'
_symmetry_space_group_name_H-M 'F -4 3 m'
_symmetry_Int_Tables_number 216
_symmetry_space_group_name_Hall 'F -4 2 3'
_cell_length_a 6.886
_cell_length_b 6.886
_cell_length_c 6.886
_cell_angle_alpha 90.00
_cell_angle_beta 90.00
_cell_angle_gamma 90.00
loop_
_atom_site_label
_atom_site_fract_x
_atom_site_fract_y
_atom_site_fract_z
_atom_site_occupancy
Ho1 0.000 0.000 0.000 1
Pa1 0.000 0.000 0.500 1
Ir1 0.250 0.250 0.250 1
Rh1 0.250 0.250 0.750 1
```


DFT (PBE) results for a relaxed TbBe2BRu crystal.

Values from the calculation:
Energy of formation   -0.27 eV per atom
Total DFT energy (no corrections)   -5.881 eV/atom

Geometry as CIF:
```
data_TbBe2BRu
_chemical_formula_sum 'Tb2 Be4 B2 Ru2'
_symmetry_space_group_name_H-M 'I m m 2'
_symmetry_Int_Tables_number 44
_cell_length_a 3.496
_cell_length_b 3.579
_cell_length_c 10.421
_cell_angle_alpha 90.00
_cell_angle_beta 90.00
_cell_angle_gamma 90.00
loop_
_symmetry_equiv_pos_as_xyz
'x,y,z'
'-x,-y,z'
'-x,y,z'
'x,-y,z'
'x+1/2,y+1/2,z+1/2'
'-x+1/2,-y+1/2,z+1/2'
'-x+1/2,y+1/2,z+1/2'
'x+1/2,-y+1/2,z+1/2'
loop_
_atom_site_label
_atom_site_fract_x
_atom_site_fract_y
_atom_site_fract_z
_atom_site_occupancy
Tb1 0.000 0.000 0.000 1
Be1 0.000 0.000 0.633 1
Be2 0.000 0.500 0.271 1
B1 0.000 0.000 0.381 1
Ru1 0.000 0.500 0.764 1
```


DFT (PBE) results for a relaxed TiInPtRh crystal.

Values from the calculation:
Energy of formation   -0.70 eV per atom
Total DFT energy (no corrections)   -6.705 eV/atom

Geometry as CIF:
```
data_TiInPtRh
_chemical_formula_sum 'Ti2 In2 Pt2 Rh2'
_symmetry_space_group_name_H-M 'I -4 m 2'
_symmetry_Int_Tables_number 119
_symmetry_space_group_name_Hall 'I -4 -2'
_cell_length_a 4.146
_cell_length_b 4.146
_cell_length_c 7.542
_cell_angle_alpha 90.00
_cell_angle_beta 90.00
_cell_angle_gamma 90.00
loop_
_atom_site_label
_atom_site_fract_x
_atom_site_fract_y
_atom_site_fract_z
_atom_site_occupancy
Ti1 0.000 0.000 0.000 1
In1 0.000 0.000 0.500 1
Pt1 0.000 0.500 0.250 1
Rh1 0.000 0.500 0.750 1
```